Record 1
Compound: NaTa2Br
Source: Alexandria
Functional: PBE
Structure: optimized geometry

Crystal system   tetragonal
Energy above the most stable polymorph in this dataset   0 meV/atom
Raw formation energy   66 kJ/mol of atoms

Cell lengths 3.8170, 3.8170, 25.3211 Å; angles 90.00, 90.00, 90.00 degrees
Closest atoms and distances in Å follow each position.
Space group I-42d (No. 122)
Symmetry-distinct sites (fractional):
Na  0.0000  0.0000  0.0000 x4  4 Br 2.70
Ta  0.2492  0.2500  0.1250 x8  4 Ta 2.69-2.70
Br  0.0000  0.0000  0.5000 x4  4 Na 2.70

=====

Record 2
Compound: Be5NiIr4
Source: Alexandria
Functional: PBE
Structure: optimized geometry

Crystal system   tetragonal

Cell lengths 2.7907, 2.7907, 13.7436 Å; angles 90.00, 90.00, 90.00 degrees
Closest atoms and distances in Å follow each position.
Space group P4/mmm (No. 123)
Symmetry-distinct sites (fractional):
Be  0.0000  0.0000  0.0000 x1  8 Ir 2.42
Be  0.0000  0.0000  0.2059 x2  8 Ir 2.42-2.43
Be  0.0000  0.0000  0.4053 x2  4 Ni 2.36, 4 Ir 2.38, 1 Be 2.60
Ni  0.5000  0.5000  0.5000 x1  8 Be 2.36, 2 Ir 2.64
Ir  0.5000  0.5000  0.1022 x2  8 Be 2.42-2.43
Ir  0.5000  0.5000  0.3079 x2  8 Be 2.38-2.42, 1 Ni 2.64

=====

Number 1: E -95.81 eV per cell. Number 2: E -65.19 eV per cell.